[1]
Density functional theory data (GGA-PBE) for an optimized crystal structure of AlIn2SiS.

The formation energy (no corrections) comes out at 0.547 eV per atom. The space-group type is P4/mmm. For the total magnetic moment, the calculation gives 0.0000 μB/atom. The total energy comes out at -3.207 eV per atom. As for the crystal system: tetragonal.

```
AlIn2SiS
1.0
5.312 0.000 0.000
0.000 5.312 0.000
0.000 0.000 4.846
Al In Si S
1 2 1 1
Direct
0.000 0.000 0.000 Al
0.000 0.500 0.000 In
0.500 0.000 0.000 In
0.000 0.000 0.500 Si
0.500 0.500 0.500 S
```

---

[2]
Density functional theory data (GGA-PBE) for an optimized crystal structure of AlInSn2S.

The formation energy (no corrections) comes out at 0.760 eV per atom. The space-group type is P4/mmm. For the total magnetic moment, the calculation gives 0.0000 μB/atom. The total energy comes out at -2.963 eV per atom. As for the crystal system: tetragonal.

```
AlInSn2S
1.0
5.604 0.000 0.000
0.000 5.604 0.000
0.000 0.000 5.154
Al In Sn S
1 1 2 1
Direct
0.000 0.000 0.000 Al
0.000 0.000 0.500 In
0.000 0.500 0.500 Sn
0.500 0.000 0.500 Sn
0.500 0.500 0.000 S
```

---

[3]
Density functional theory data (GGA-PBE) for an optimized crystal structure of Al2InSnS6.

The formation energy (no corrections) comes out at -0.702 eV per atom. The space-group type is C2/c. For the total magnetic moment, the calculation gives 0.0000 μB/atom. The total energy comes out at -4.601 eV per atom. As for the crystal system: monoclinic.

```
Al2InSnS6
1.0
6.142 -5.802 0.000
6.142 5.802 0.000
-1.386 0.000 6.354
Al In Sn S
4 2 2 12
Direct
0.102 0.276 0.300 Al
0.276 0.102 0.800 Al
0.724 0.898 0.200 Al
0.898 0.724 0.700 Al
0.219 0.781 0.250 In
0.781 0.219 0.750 In
0.398 0.602 0.750 Sn
0.602 0.398 0.250 Sn
0.061 0.210 0.612 S
0.117 0.620 0.886 S
0.210 0.061 0.112 S
0.285 0.474 0.355 S
0.380 0.883 0.614 S
0.474 0.285 0.855 S
0.526 0.715 0.145 S
0.620 0.117 0.386 S
0.715 0.526 0.645 S
0.790 0.939 0.888 S
0.883 0.380 0.114 S
0.939 0.790 0.388 S
```

---

[4]
Density functional theory data (GGA-PBE) for an optimized crystal structure of TaAl2InS.

The formation energy (no corrections) comes out at 0.302 eV per atom. The space-group type is P4/mmm. For the total magnetic moment, the calculation gives 0.0000 μB/atom. The total energy comes out at -4.938 eV per atom. As for the crystal system: tetragonal.

```
TaAl2InS
1.0
5.234 0.000 0.000
0.000 5.234 0.000
0.000 0.000 4.658
Ta Al In S
1 2 1 1
Direct
0.000 0.000 0.000 Ta
0.000 0.500 0.000 Al
0.500 0.000 0.000 Al
0.500 0.500 0.500 In
0.000 0.000 0.500 S
```

---

[5]
Density functional theory data (GGA-PBE) for an optimized crystal structure of TbAlIn2S6.

The formation energy (no corrections) comes out at -1.002 eV per atom. The space-group type is C2/c. For the total magnetic moment, the calculation gives 0.0000 μB/atom. The total energy comes out at -4.864 eV per atom. As for the crystal system: monoclinic.

```
TbAlIn2S6
1.0
6.037 -6.662 0.000
6.037 6.662 0.000
-2.543 0.000 6.368
Tb Al In S
2 2 4 12
Direct
0.096 0.904 0.750 Tb
0.904 0.096 0.250 Tb
0.170 0.830 0.250 Al
0.830 0.170 0.750 Al
0.293 0.469 0.849 In
0.469 0.293 0.349 In
0.531 0.707 0.651 In
0.707 0.531 0.151 In
0.063 0.194 0.673 S
0.111 0.654 0.930 S
0.194 0.063 0.173 S
0.293 0.465 0.480 S
0.346 0.889 0.570 S
0.465 0.293 0.980 S
0.535 0.707 0.020 S
0.654 0.111 0.430 S
0.707 0.535 0.520 S
0.806 0.937 0.827 S
0.889 0.346 0.070 S
0.937 0.806 0.327 S
```

---

[6]
Density functional theory data (GGA-PBE) for an optimized crystal structure of AlTl2InS4.

The formation energy (no corrections) comes out at -0.686 eV per atom. The space-group type is Pmn2_1. For the total magnetic moment, the calculation gives 0.0000 μB/atom. The total energy comes out at -4.151 eV per atom. As for the crystal system: orthorhombic.

```
AlTl2InS4
1.0
7.722 0.000 0.000
0.000 9.508 0.000
0.000 0.000 6.483
Al Tl In S
2 4 2 8
Direct
0.000 0.131 0.000 Al
0.500 0.869 0.500 Al
0.239 0.662 0.044 Tl
0.261 0.338 0.544 Tl
0.739 0.338 0.544 Tl
0.761 0.662 0.044 Tl
0.000 0.886 0.500 In
0.500 0.114 0.000 In
0.000 0.126 0.648 S
0.000 0.906 0.114 S
0.238 0.259 0.088 S
0.262 0.741 0.588 S
0.500 0.094 0.614 S
0.500 0.874 0.148 S
0.738 0.741 0.588 S
0.762 0.259 0.088 S
```

---

What did the third record say?
Density functional theory data (GGA-PBE) for an optimized crystal structure of Al2InSnS6.

The formation energy (no corrections) comes out at -0.702 eV per atom. The space-group type is C2/c. For the total magnetic moment, the calculation gives 0.0000 μB/atom. The total energy comes out at -4.601 eV per atom. As for the crystal system: monoclinic.

```
Al2InSnS6
1.0
6.142 -5.802 0.000
6.142 5.802 0.000
-1.386 0.000 6.354
Al In Sn S
4 2 2 12
Direct
0.102 0.276 0.300 Al
0.276 0.102 0.800 Al
0.724 0.898 0.200 Al
0.898 0.724 0.700 Al
0.219 0.781 0.250 In
0.781 0.219 0.750 In
0.398 0.602 0.750 Sn
0.602 0.398 0.250 Sn
0.061 0.210 0.612 S
0.117 0.620 0.886 S
0.210 0.061 0.112 S
0.285 0.474 0.355 S
0.380 0.883 0.614 S
0.474 0.285 0.855 S
0.526 0.715 0.145 S
0.620 0.117 0.386 S
0.715 0.526 0.645 S
0.790 0.939 0.888 S
0.883 0.380 0.114 S
0.939 0.790 0.388 S
```